! Er2BeSn (GGA-PBE, optimized geometry); values from VASP
! - symmetry = R-3m, No. 166
! - ΔE_f (eV/atom) = 0.231
! - V (Å³/cell) = 105.3
! - calculated total energy (eV per atom) = -3.983
! - M_tot (μB per cell) = 0.0
&SYSTEM
  ibrav = 0, nat = 4, ntyp = 3
/
ATOMIC_SPECIES
Er 167.26 Er.upf
Be 9.01 Be.upf
Sn 118.71 Sn.upf
CELL_PARAMETERS angstrom
1.726 0.996 10.207
-1.726 0.996 10.207
0.000 -1.993 10.207
ATOMIC_POSITIONS crystal
Er 0.103 0.103 0.103
Er 0.897 0.897 0.897
Be 0.500 0.500 0.500
Sn 0.000 0.000 0.000



! Pa5Al2 (GGA-PBE, optimized geometry); values from VASP
! - symmetry = P4/mbm, No. 127
! - ΔE_f (eV/atom) = 0.140
! - V (Å³/cell) = 320.2
! - calculated total energy (eV per atom) = -7.712
! - M_tot (μB per cell) = 0.0
&SYSTEM
  ibrav = 0, nat = 14, ntyp = 2
/
ATOMIC_SPECIES
Pa 231.04 Pa.upf
Al 26.98 Al.upf
CELL_PARAMETERS angstrom
10.236 0.000 0.000
0.000 10.236 0.000
0.000 0.000 3.056
ATOMIC_POSITIONS crystal
Pa 0.000 0.500 0.000
Pa 0.056 0.200 0.000
Pa 0.200 0.944 0.000
Pa 0.300 0.444 0.000
Pa 0.444 0.700 0.000
Pa 0.500 0.000 0.000
Pa 0.556 0.300 0.000
Pa 0.700 0.556 0.000
Pa 0.800 0.056 0.000
Pa 0.944 0.800 0.000
Al 0.182 0.682 0.500
Al 0.318 0.182 0.500
Al 0.682 0.818 0.500
Al 0.818 0.318 0.500



| no. | density of states at the Fermi level (states/eV per atom) |
| --- | --- |
| 1 | 1.17 |
| 2 | 1.94 |